VASP calculation (PBE) on an optimized crystal structure of Cs2HfSe4.

The structure in CIF format:
```
data_Cs2HfSe4
_cell_length_a 7.595
_cell_length_b 4.003
_cell_length_c 8.730
_cell_angle_alpha 90.00
_cell_angle_beta 109.49
_cell_angle_gamma 90.00
_symmetry_space_group_name_H-M 'P 1 2/m 1'
_symmetry_Int_Tables_number 10
_symmetry_space_group_name_Hall '-P 2y'
loop_
_atom_site_label
_atom_site_type_symbol
_atom_site_fract_x
_atom_site_fract_y
_atom_site_fract_z
Cs1 Cs 0.194 0.000 0.334
Hf1 Hf 0.500 0.500 0.000
Se1 Se 0.122 0.500 0.931
Se2 Se 0.414 0.000 0.779
```

Output
energy relative to the elements, uncorrected	-22.588	kcal/mol of atoms
E	-4.636	eV/atom
total magnetic moment	0.0	μB/f.u.